Material: LaZnRh
Method: DFT, PBE-GGA
State: relaxed

Unit cell a=6.6058 b=6.6058 c=6.6058 alpha=90.00 beta=90.00 gamma=90.00
With the nearest neighbours (Å) after each atom.
Space group F-43m (No. 216)
One atom of each set of equivalent atoms:
La 0.0000 0.0000 0.0000 (multiplicity 4)  4 Rh 2.86
Zn 0.0000 0.0000 0.5000 (multiplicity 4)  4 Rh 2.86
Rh 0.2500 0.2500 0.2500 (multiplicity 4)  4 La 2.86, 4 Zn 2.86

Computed properties:
Formation energy from the elements   -0.493 eV/atom
Total moment   0.00 μB/cell

***

Material: K2AgMo
Method: DFT, PBE-GGA
State: relaxed

Unit cell a=6.4634 b=10.6028 c=3.7003 alpha=90.00 beta=90.00 gamma=90.00
With the nearest neighbours (Å) after each atom.
Space group Cmmm (No. 65)
One atom of each set of equivalent atoms:
K 0.2500 0.2500 0.0000 (multiplicity 4)  2 K 3.23, 4 Mo 3.61, 4 Ag 3.61
Ag 0.0000 0.0000 0.5000 (multiplicity 2)  2 Mo 3.23, 8 K 3.61
Mo 0.0000 0.5000 0.5000 (multiplicity 2)  2 Ag 3.23, 8 K 3.61

Computed properties:
Formation energy from the elements   1.183 eV/atom
Total moment   8.80 μB/cell

***

Material: Rb8Tl2Cd
Method: DFT, PBE-GGA
State: relaxed

Unit cell a=11.6376 b=15.3183 c=8.1063 alpha=90.00 beta=104.87 gamma=90.00
With the nearest neighbours (Å) after each atom.
Space group C2/m (No. 12)
One atom of each set of equivalent atoms:
Rb 0.0000 0.2391 0.0000 (multiplicity 4)  1 Cd 3.66
Rb 0.1931 0.3550 0.6352 (multiplicity 8)  2 Tl 4.04-4.44, 6 Rb 4.26-4.53
Rb 0.2300 0.5000 0.1647 (multiplicity 4)  1 Cd 3.72, 2 Tl 3.93
Tl 0.0000 0.1043 0.5000 (multiplicity 4)  1 Tl 3.20
Cd 0.0000 0.0000 0.0000 (multiplicity 2)  4 Rb 3.66-3.72

Computed properties:
Formation energy from the elements   0.047 eV/atom
Total moment   0.00 μB/cell

***

Material: SrTm2C
Method: DFT, PBE-GGA
State: relaxed

Unit cell a=3.5909 b=3.5909 c=29.4479 alpha=90.00 beta=90.00 gamma=120.00
With the nearest neighbours (Å) after each atom.
Space group R-3m (No. 166, hexagonal axes)
One atom of each set of equivalent atoms:
Sr 0.0000 0.0000 0.0000 (multiplicity 3)  6 Sr 3.59, 2 Tm 3.60
Tm 0.0000 0.0000 0.1223 (multiplicity 6)  3 C 2.45
C 0.0000 0.0000 0.5000 (multiplicity 3)  6 Tm 2.45

Computed properties:
Formation energy from the elements   -0.082 eV/atom
Total moment   0.00 μB/cell

***

Material: Tl2FeOs
Method: DFT, PBE-GGA
State: relaxed

Unit cell a=3.0988 b=3.0988 c=26.6718 alpha=90.00 beta=90.00 gamma=120.00
With the nearest neighbours (Å) after each atom.
Space group R-3m (No. 166, hexagonal axes)
One atom of each set of equivalent atoms:
Tl 0.0000 0.0000 0.2489 (multiplicity 6)  3 Fe 2.83, 3 Os 2.88, 6 Tl 3.10
Fe 0.0000 0.0000 0.5000 (multiplicity 3)  6 Tl 2.83, 6 Fe 3.10
Os 0.0000 0.0000 0.0000 (multiplicity 3)  6 Tl 2.88, 6 Os 3.10

Computed properties:
Formation energy from the elements   0.940 eV/atom
Total moment   7.84 μB/cell

***

Material: BaPrAgSn
Method: DFT, PBE-GGA
State: relaxed

Unit cell a=8.0332 b=8.0332 c=8.0332 alpha=90.00 beta=90.00 gamma=90.00
With the nearest neighbours (Å) after each atom.
Space group F-43m (No. 216)
One atom of each set of equivalent atoms:
Ba 0.0000 0.0000 0.0000 (multiplicity 4)  4 Sn 3.48, 4 Ag 3.48
Pr 0.0000 0.0000 0.5000 (multiplicity 4)  4 Ag 3.48, 4 Sn 3.48
Ag 0.2500 0.2500 0.2500 (multiplicity 4)  4 Ba 3.48, 4 Pr 3.48
Sn 0.2500 0.2500 0.7500 (multiplicity 4)  4 Ba 3.48, 4 Pr 3.48

Computed properties:
Formation energy from the elements   -0.419 eV/atom
Total moment   0.00 μB/cell

***

Material: CsMgCo3
Method: DFT, PBE-GGA
State: relaxed

Unit cell a=4.7448 b=4.7448 c=4.7448 alpha=90.00 beta=90.00 gamma=90.00
With the nearest neighbours (Å) after each atom.
Space group Pm-3m (No. 221)
One atom of each set of equivalent atoms:
Cs 0.0000 0.0000 0.0000 (multiplicity 1)  6 Co 2.37
Mg 0.5000 0.5000 0.5000 (multiplicity 1)  12 Co 3.36
Co 0.0000 0.0000 0.5000 (multiplicity 3)  2 Cs 2.37

Computed properties:
Formation energy from the elements   2.224 eV/atom
Total moment   2.33 μB/cell

***

Material: UCd5
Method: DFT, PBE-GGA
State: relaxed

Unit cell a=4.6908 b=12.8075 c=4.7910 alpha=90.00 beta=90.00 gamma=90.00
With the nearest neighbours (Å) after each atom.
Space group Cmmm (No. 65)
One atom of each set of equivalent atoms:
U 0.0000 0.0000 0.0000 (multiplicity 2)  12 Cd 3.22-3.35
Cd 0.0000 0.1676 0.5000 (multiplicity 4)  10 Cd 3.12-3.35, 2 U 3.22
Cd 0.0000 0.3233 0.0000 (multiplicity 4)  10 Cd 3.00-3.35, 2 U 3.26
Cd 0.0000 0.5000 0.5000 (multiplicity 2)  8 Cd 3.18-3.30, 4 U 3.35

Computed properties:
Formation energy from the elements   0.193 eV/atom
Total moment   6.10 μB/cell

***

> Which value of formation energy from the elements does entry 2 give?

1.183 eV/atom

***

> Number 7 is which compound?

CsMgCo3

***

Copy entry 4 word for word.
Material: SrTm2C
Method: DFT, PBE-GGA
State: relaxed

Unit cell a=3.5909 b=3.5909 c=29.4479 alpha=90.00 beta=90.00 gamma=120.00
With the nearest neighbours (Å) after each atom.
Space group R-3m (No. 166, hexagonal axes)
One atom of each set of equivalent atoms:
Sr 0.0000 0.0000 0.0000 (multiplicity 3)  6 Sr 3.59, 2 Tm 3.60
Tm 0.0000 0.0000 0.1223 (multiplicity 6)  3 C 2.45
C 0.0000 0.0000 0.5000 (multiplicity 3)  6 Tm 2.45

Computed properties:
Formation energy from the elements   -0.082 eV/atom
Total moment   0.00 μB/cell

***

> formation energy from the elements of number 6 (BaPrAgSn)?

-0.419 eV/atom